# Ba3BeIr

Ba3BeIr after structural relaxation (GGA-PBE, Alexandria via LeMat-Bulk).

Computed properties:
* N(E_F): 2.9 states/eV/cell
* symmetry: Pm-3m (221)
* calculated total energy: -0.12118 hartree per atom
* formation enthalpy at 0 K: 0.374 eV per atom

Lattice parameters (Å, degrees): 6.052 6.052 6.052 90.00 90.00 90.00
Fractional coordinates of all 5 atoms:
Ba  0.000  0.500  0.000
Be  0.500  0.500  0.500
Ba  0.000  0.000  0.500
Ir  0.000  0.000  0.000
Ba  0.500  0.000  0.000



# InSiAg2N

InSiAg2N after structural relaxation (GGA-PBE, Alexandria via LeMat-Bulk).

Computed properties:
* N(E_F): 2.2 states/eV/cell
* symmetry: P4/mmm (123)
* calculated total energy: -0.14699 hartree per atom
* formation energy (no corrections): 0.4380 eV/atom

Lattice parameters (Å, degrees): 5.317 3.331 5.317 90.00 90.00 90.00
Fractional coordinates of all 5 atoms:
Ag  0.500  0.000  0.000
In  0.500  0.500  0.500
Si  0.000  0.000  0.000
N  0.000  0.500  0.000
Ag  0.000  0.000  0.500



# Sc3BiB

Sc3BiB after structural relaxation (GGA-PBE, Alexandria via LeMat-Bulk).

Computed properties:
* N(E_F): 3.3 states/eV/cell
* symmetry: Pm-3m (221)
* calculated total energy: -0.23802 hartree per atom
* formation enthalpy at 0 K: -0.566 eV per atom

Lattice parameters (Å, degrees): 4.691 4.691 4.691 90.00 90.00 90.00
Fractional coordinates of all 5 atoms:
Sc  0.000  0.000  0.500
B  0.000  0.000  0.000
Sc  0.000  0.500  0.000
Sc  0.500  0.000  0.000
Bi  0.500  0.500  0.500



# HoFe4Si4

HoFe4Si4 after structural relaxation (GGA-PBE, Alexandria via LeMat-Bulk).

Computed properties:
* N(E_F): 10.0 states/eV/cell
* symmetry: P4_2/n (86)
* calculated total energy: -0.26021 hartree per atom
* formation energy (no corrections): -0.4006 eV/atom

Lattice parameters (Å, degrees): 4.305 7.693 7.693 90.00 90.00 90.00
Each line ends with the local moment (μB).
Fractional coordinates of all 18 atoms:
Fe  0.443  0.386  0.880  0.80
Si  0.553  0.846  0.293  -0.03
Si  0.947  0.654  0.207  -0.03
Si  0.947  0.346  0.793  -0.03
Fe  0.943  0.380  0.114  0.80
Fe  0.943  0.620  0.886  0.80
Si  0.553  0.154  0.707  -0.03
Ho  0.500  0.500  0.500  0.00
Fe  0.443  0.614  0.120  0.80
Fe  0.057  0.886  0.380  0.80
Si  0.053  0.793  0.654  -0.03
Ho  0.000  0.000  0.000  0.00
Fe  0.557  0.120  0.386  0.80
Si  0.447  0.707  0.846  -0.03
Fe  0.057  0.114  0.620  0.80
Si  0.053  0.207  0.346  -0.03
Fe  0.557  0.880  0.614  0.80
Si  0.447  0.293  0.154  -0.03



# CeHo2Ru

CeHo2Ru after structural relaxation (GGA-PBE, Alexandria via LeMat-Bulk).

Computed properties:
* N(E_F): 13.6 states/eV/cell
* symmetry: P2_1/m (11)
* calculated total energy: -0.23450 hartree per atom
* formation enthalpy at 0 K: -0.290 eV per atom

Lattice parameters (Å, degrees): 3.776 6.252 9.446 90.00 90.00 107.58
Each line ends with the local moment (μB).
Fractional coordinates of all 8 atoms:
Ho  0.142  0.285  0.431  0.04
Ce  0.582  0.163  0.750  0.20
Ho  0.858  0.715  0.931  0.04
Ru  0.769  0.538  0.250  -0.02
Ru  0.231  0.462  0.750  -0.02
Ho  0.858  0.715  0.569  0.04
Ce  0.418  0.837  0.250  0.20
Ho  0.142  0.285  0.069  0.04



# Sc2ZnO2

Sc2ZnO2 after structural relaxation (GGA-PBE, Alexandria via LeMat-Bulk).

Computed properties:
* N(E_F): 1.1 states/eV/cell
* symmetry: I4/mmm (139)
* calculated total energy: -0.25964 hartree per atom
* formation energy (no corrections): -2.2945 eV/atom

Lattice parameters (Å, degrees): 3.747 3.747 5.965 71.69 71.69 90.00
Fractional coordinates of all 5 atoms:
O  0.250  0.750  0.500
Zn  0.000  0.000  0.000
Sc  0.660  0.660  0.680
O  0.750  0.250  0.500
Sc  0.340  0.340  0.320



# Mg2SiAu

Mg2SiAu after structural relaxation (GGA-PBE, Alexandria via LeMat-Bulk).

Computed properties:
* N(E_F): 1.3 states/eV/cell
* symmetry: Cm (8)
* calculated total energy: -0.11697 hartree per atom
* formation energy (no corrections): -0.2106 eV/atom

Lattice parameters (Å, degrees): 5.360 5.360 4.733 74.75 74.75 34.22
Fractional coordinates of all 4 atoms:
Si  0.477  0.477  0.467
Mg  0.231  0.231  0.300
Mg  0.021  0.021  0.944
Au  0.771  0.771  0.789



# RbP2Pb2S6

RbP2Pb2S6 after structural relaxation (GGA-PBE, Alexandria via LeMat-Bulk).

Computed properties:
* N(E_F): 3.7 states/eV/cell
* symmetry: P-1 (2)
* calculated total energy: -0.16294 hartree per atom
* formation energy (no corrections): -0.4368 eV/atom

Lattice parameters (Å, degrees): 8.197 7.027 7.345 115.08 87.17 65.55
Fractional coordinates of all 11 atoms:
Rb  0.500  0.000  0.500
S  0.156  0.927  0.648
Pb  0.223  0.575  0.167
S  0.878  0.456  0.205
P  0.146  0.850  0.883
S  0.373  0.809  0.024
P  0.854  0.150  0.117
S  0.122  0.544  0.795
Pb  0.777  0.425  0.833
S  0.844  0.073  0.352
S  0.627  0.191  0.976



Mass density
In order: 4.59, 6.57, 5.70, 6.53, 8.92, 4.14, 6.18, 3.73
Unit: g/cm³